1.
Density functional theory data (PBE) for a relaxed structure of RbSc3Ta.

Cell: 5.422 5.422 5.422 Å, 90.00 90.00 90.00°
Element x y z (fractional)
Rb 0.000 0.000 0.000
Sc 0.000 0.500 0.500
Sc 0.500 0.000 0.500
Sc 0.500 0.500 0.000
Ta 0.500 0.500 0.500

DOS(E_F) = 2.333 states/eV/atom
energy above the most stable polymorph in this dataset = 0.0000 eV/atom
energy of formation = 3.908 eV/f.u.

---

2.
Density functional theory data (PBE) for a relaxed structure of Tl2GeBiCl.

Cell: 6.522 6.522 5.389 Å, 90.00 90.00 90.00°
Element x y z (fractional)
Tl 0.000 0.500 0.000
Tl 0.500 0.000 0.000
Ge 0.000 0.000 0.500
Bi 0.000 0.000 0.000
Cl 0.500 0.500 0.500

formation energy from raw total energies = 5.01 kcal/mol of atoms
DOS(E_F) = 0.436 states/eV/atom
energy above the most stable polymorph in this dataset = 0.1360 eV/atom

---

3.
Density functional theory data (PBE) for a relaxed structure of Rb2NpCrSe4.

Cell: 6.971 4.174 8.304 Å, 90.00 106.94 90.00°
Element x y z (fractional)
Rb 0.000 0.000 0.000
Rb 0.500 0.500 0.000
Np 0.000 0.500 0.500
Cr 0.500 0.000 0.500
Se 0.249 0.000 0.691
Se 0.288 0.500 0.320
Se 0.712 0.500 0.680
Se 0.751 0.000 0.309

formation energy from raw total energies = -22.63 kcal/mol of atoms
DOS(E_F) = 1.145 states/eV/atom

---

Number 1: uncorrected energy -5.581 eV per atom, volume 31.9 Å³ per atom, magnetization 0.00 μB/f.u.. Number 2: uncorrected energy -2.798 eV per atom, volume 45.9 Å³ per atom, magnetization 0.00 μB/f.u.. Number 3: uncorrected energy -5.786 eV per atom, volume 28.9 Å³ per atom, magnetization 7.00 μB/f.u..